# 1
Crystalline Pm2Nd5Dy at its relaxed geometry. Source: Alexandria via LeMat-Bulk, functional PBE.

Cell lengths 14.6615, 14.6615, 6.6479 Å; angles 94.23, 94.23, 155.07 degrees
Fractional positions:
Pm (0.0000, 0.0000, 0.0000)
Pm (0.0000, 0.0000, 0.5000)
Pm (0.0000, 0.5000, 0.0000)
Pm (0.5000, 0.0000, 0.5000)
Nd (0.0697, 0.4526, 0.5041)
Nd (0.0961, 0.9039, 0.7500)
Nd (0.1892, 0.4089, 0.9114)
Nd (0.4089, 0.1892, 0.4114)
Nd (0.4526, 0.0697, 0.0041)
Nd (0.5474, 0.9303, 0.9959)
Nd (0.5911, 0.8108, 0.5886)
Nd (0.8108, 0.5911, 0.0886)
Nd (0.9039, 0.0961, 0.2500)
Nd (0.9303, 0.5474, 0.4959)
Dy (0.4877, 0.5123, 0.2500)
Dy (0.5123, 0.4877, 0.7500)

Computed properties:
energy above the lowest structure with this stoichiometry = 0.197 eV/atom
energy relative to the elements = 0.21 eV per atom



# 2
Crystalline Pm2ThAu3 at its relaxed geometry. Source: Alexandria via LeMat-Bulk, functional PBE.

Cell lengths 8.3509, 8.3509, 3.6384 Å; angles 90.00, 90.00, 143.19 degrees
Fractional positions:
Pm (0.1686, 0.8314, 0.0000)
Pm (0.8314, 0.1686, 0.0000)
Th (0.5000, 0.5000, 0.0000)
Au (0.0000, 0.0000, 0.5000)
Au (0.3342, 0.6658, 0.5000)
Au (0.6658, 0.3342, 0.5000)

Computed properties:
energy relative to the elements = -0.70 eV per atom



# 3
Crystalline Cs4Ce3ScSe8 at its relaxed geometry. Source: Alexandria via LeMat-Bulk, functional PBE.

Cell lengths 9.7490, 9.7490, 9.7490 Å; angles 52.96, 52.96, 52.96 degrees
Fractional positions:
Cs (0.0000, 0.0000, 0.0000)
Cs (0.0000, 0.5000, 0.5000)
Cs (0.5000, 0.0000, 0.5000)
Cs (0.5000, 0.5000, 0.0000)
Ce (0.0000, 0.0000, 0.5000)
Ce (0.0000, 0.5000, 0.0000)
Ce (0.5000, 0.0000, 0.0000)
Sc (0.5000, 0.5000, 0.5000)
Se (0.2306, 0.2306, 0.2306)
Se (0.2452, 0.7191, 0.7191)
Se (0.2809, 0.2809, 0.7548)
Se (0.2809, 0.7548, 0.2809)
Se (0.7191, 0.2452, 0.7191)
Se (0.7191, 0.7191, 0.2452)
Se (0.7548, 0.2809, 0.2809)
Se (0.7694, 0.7694, 0.7694)

Computed properties:
E = -5.0900 eV/atom



# 4
Crystalline V2Ga2Sn at its relaxed geometry. Source: Alexandria via LeMat-Bulk, functional PBE.

Cell lengths 7.0116, 7.0116, 7.0116 Å; angles 149.52, 149.52, 43.64 degrees
Fractional positions:
V (0.2500, 0.7500, 0.5000)
V (0.7500, 0.2500, 0.5000)
Ga (0.1040, 0.1040, 0.0000)
Ga (0.8960, 0.8960, 0.0000)
Sn (0.5000, 0.5000, 0.0000)

Computed properties:
energy above the lowest structure with this stoichiometry = 0.265 eV/atom
energy relative to the elements = 0.29 eV per atom